First-principles (PBE) data for SrAc2Hg8 after structural relaxation, as listed in Alexandria via LeMat-Bulk.

Computed properties:
calculated formation energy	-436	kJ/mol of formula units
DFT total energy	-16.8	eV/cell
space-group type	C2/m

a = 5.5230 Å, b = 6.9184 Å, c = 9.5303 Å
α = 111.55°, β = 107.17°, γ = 89.15°
With the nearest neighbours (Å) after each atom.
Sites, in units of the cell vectors:
Sr 0.5000 0.0000 0.0000  4 Hg 3.33-3.38
Ac 0.6872 0.6872 0.3743  12 Hg 3.35-3.52
Ac 0.3128 0.3128 0.6257  12 Hg 3.35-3.52
Hg 0.1453 0.3569 0.2641  3 Hg 3.01-3.29
Hg 0.8812 0.0928 0.7359  3 Hg 3.01-3.29
Hg 0.7526 0.4345 0.0000  4 Hg 2.89-3.01
Hg 0.7004 0.2004 0.4008  6 Hg 3.29-3.45, 4 Ac 3.35-3.47, 1 Sr 3.38
Hg 0.2996 0.7996 0.5992  6 Hg 3.29-3.45, 4 Ac 3.35-3.47, 1 Sr 3.38
Hg 0.2474 0.5655 0.0000  4 Hg 2.89-3.01
Hg 0.1188 0.9072 0.2641  3 Hg 3.01-3.29
Hg 0.8547 0.6431 0.7359  3 Hg 3.01-3.29